KMg15 | PBE | relaxed

a b c (Å): 6.5307 6.5307 10.6909
angles (deg): 90.00 90.00 120.00
Closest atoms and distances in Å follow each position.
Fractional positions:
K: 0.6667 0.3333 0.0000  12 Mg 3.27-3.39
Mg: 0.6667 0.3333 0.5000  12 Mg 3.21-3.27
Mg: 0.1709 0.3418 0.0000  10 Mg 3.18-3.35, 2 K 3.27
Mg: 0.1637 0.3274 0.5000  12 Mg 3.18-3.32
Mg: 0.1709 0.8291 0.0000  10 Mg 3.18-3.35, 2 K 3.27
Mg: 0.1637 0.8363 0.5000  12 Mg 3.18-3.32
Mg: 0.6582 0.8291 0.0000  10 Mg 3.18-3.35, 2 K 3.27
Mg: 0.6726 0.8363 0.5000  12 Mg 3.18-3.32
Mg: 0.0081 0.5040 0.2602  11 Mg 3.18-3.34, 1 K 3.39
Mg: 0.0081 0.5040 0.7398  11 Mg 3.18-3.34, 1 K 3.39
Mg: 0.4960 0.5040 0.2602  11 Mg 3.18-3.34, 1 K 3.39
Mg: 0.4960 0.5040 0.7398  11 Mg 3.18-3.34, 1 K 3.39
Mg: 0.4960 0.9919 0.2602  11 Mg 3.18-3.34, 1 K 3.39
Mg: 0.4960 0.9919 0.7398  11 Mg 3.18-3.34, 1 K 3.39
Mg: 0.0000 0.0000 0.2420  12 Mg 3.23-3.32
Mg: 0.0000 0.0000 0.7580  12 Mg 3.23-3.32

Results
energy relative to the elements = 0.09 eV/atom

KMg2 | PBE | relaxed

a b c (Å): 4.2728 4.2728 6.5868
angles (deg): 90.00 90.00 90.00
Closest atoms and distances in Å follow each position.
Fractional positions:
K: 0.0000 0.0000 0.0000  8 Mg 3.93, 4 K 4.27
Mg: 0.0000 0.5000 0.5000  4 Mg 3.02
Mg: 0.5000 0.0000 0.5000  4 Mg 3.02

Results
energy relative to the elements = 0.26 eV/atom

energy relative to the elements of number 2 (KMg2)?
0.26 eV/atom

Among the records above, which one has the highest energy relative to the elements?
KMg2